[1]
Pr5Ho2Mg5 | GGA-PBE | relaxed

Output
Volume   30.3 Å³/atom
Raw total energy   -3.46 eV per atom
Space-group type   No. 12
Formation energy   -0.042 eV/atom
Density of states at the Fermi level   12.1 states/eV/f.u.
M_tot   0.00 μB/atom

Unit cell a=3.7316 b=8.8109 c=12.3566 alpha=113.30 beta=90.00 gamma=102.23
Closest atoms and distances in Å follow each position.
Element x y z (fractional)
1 Pr 0.5000 0.0000 0.5000  4 Mg 3.52, 4 Ho 3.55, 4 Pr 3.72-3.73
2 Pr 0.5642 0.1284 0.2467  6 Mg 3.36-3.49, 2 Ho 3.59, 3 Pr 3.72-3.73
3 Mg 0.0000 0.0000 0.0000  8 Pr 3.36-3.37, 2 Mg 3.73
4 Ho 0.8840 0.7681 0.2402  3 Mg 3.32-3.71, 7 Pr 3.55-3.59
5 Pr 0.4358 0.8716 0.7533  6 Mg 3.36-3.49, 2 Ho 3.59, 3 Pr 3.72-3.73
6 Mg 0.8260 0.6520 0.4982  5 Mg 3.08-3.31
7 Mg 0.1740 0.3480 0.5018  5 Mg 3.08-3.31
8 Pr 0.3301 0.6603 0.9720  4 Mg 3.37-3.45, 3 Ho 3.56-3.58, 4 Pr 3.62-3.73
9 Mg 0.2398 0.4795 0.2845  3 Mg 3.08-3.31, 2 Ho 3.32, 4 Pr 3.42-3.45
10 Mg 0.7602 0.5205 0.7155  3 Mg 3.08-3.31, 2 Ho 3.32, 4 Pr 3.42-3.45
11 Pr 0.6699 0.3397 0.0280  4 Mg 3.37-3.45, 3 Ho 3.56-3.58, 4 Pr 3.62-3.73
12 Ho 0.1160 0.2319 0.7598  3 Mg 3.32-3.71, 7 Pr 3.55-3.59

***

[2]
Pr3Ho8Mg | GGA-PBE | relaxed

Output
Volume   35.3 Å³/atom
Raw total energy   -3.80 eV per atom
Space-group type   No. 121
Formation energy   0.583 eV/atom
Density of states at the Fermi level   18.3 states/eV/f.u.
M_tot   0.00 μB/atom

Unit cell a=8.3221 b=8.3221 c=8.3221 alpha=95.20 beta=117.04 gamma=117.04
Closest atoms and distances in Å follow each position.
Element x y z (fractional)
1 Ho 0.0000 0.2504 0.7700  1 Mg 2.95, 2 Ho 3.18-3.20, 1 Pr 3.20
2 Pr 0.5000 0.7500 0.2500  4 Ho 3.43
3 Ho 0.5197 0.7496 0.7496  1 Mg 2.95, 2 Ho 3.18-3.20, 1 Pr 3.20
4 Ho 0.2525 0.3709 0.3709  3 Ho 3.10-3.20, 1 Mg 3.15, 3 Pr 3.26-3.43
5 Mg 0.0000 0.0000 0.0000  8 Ho 2.95-3.15
6 Ho 0.0000 0.7700 0.2504  1 Mg 2.95, 2 Ho 3.18-3.20, 1 Pr 3.20
7 Ho 0.0000 0.6291 0.8816  3 Ho 3.10-3.20, 1 Mg 3.15, 3 Pr 3.26-3.43
8 Ho 0.7475 0.1184 0.1184  3 Ho 3.10-3.20, 1 Mg 3.15, 3 Pr 3.26-3.43
9 Ho 0.4803 0.2300 0.2300  1 Mg 2.95, 2 Ho 3.18-3.20, 1 Pr 3.20
10 Pr 0.5000 0.2500 0.7500  4 Ho 3.43
11 Ho 0.0000 0.8816 0.6291  3 Ho 3.10-3.20, 1 Mg 3.15, 3 Pr 3.26-3.43
12 Pr 0.0000 0.5000 0.5000  8 Ho 3.20-3.26

***

[3]
Pr2HoMg | GGA-PBE | relaxed

Output
Volume   32.3 Å³/atom
Raw total energy   -3.89 eV per atom
Space-group type   No. 160
Formation energy   0.042 eV/atom
Density of states at the Fermi level   4.8 states/eV/f.u.
M_tot   0.00 μB/atom

Unit cell a=3.5846 b=3.5846 c=11.7764 alpha=81.25 beta=81.25 gamma=60.00
Closest atoms and distances in Å follow each position.
Element x y z (fractional)
1 Pr 0.0844 0.0844 0.7469  3 Mg 3.53, 3 Ho 3.58, 6 Pr 3.58
2 Mg 0.4999 0.4999 0.5003  6 Pr 3.53, 6 Mg 3.58
3 Pr 0.2488 0.2488 0.2536  3 Mg 3.53, 6 Pr 3.58, 3 Ho 3.60
4 Ho 0.6669 0.6669 0.9992  6 Pr 3.58-3.60, 6 Ho 3.58

***

[4]
Pr5Ho2Mg | GGA-PBE | relaxed

Output
Volume   33.5 Å³/atom
Raw total energy   -4.33 eV per atom
Space-group type   No. 42
Formation energy   0.001 eV/atom
Density of states at the Fermi level   10.0 states/eV/f.u.
M_tot   0.00 μB/atom

Unit cell a=7.3141 b=7.3176 c=6.8405 alpha=105.57 beta=105.54 gamma=119.90
Closest atoms and distances in Å follow each position.
Element x y z (fractional)
1 Pr 0.7361 0.8186 0.4994  2 Mg 3.58-3.59, 6 Pr 3.60-3.66, 4 Ho 3.63-3.69
2 Pr 0.8070 0.2285 0.0000  6 Pr 3.51-3.82, 4 Ho 3.55-3.62, 2 Mg 3.65-3.67
3 Pr 0.2368 0.3194 0.5007  2 Mg 3.58-3.59, 6 Pr 3.60-3.66, 4 Ho 3.63-3.69
4 Mg 0.8218 0.7343 0.0000  2 Ho 3.47, 10 Pr 3.58-3.67
5 Ho 0.7411 0.3297 0.5154  1 Mg 3.47, 9 Pr 3.55-3.69, 2 Ho 3.67
6 Pr 0.3273 0.7496 0.9999  6 Pr 3.51-3.82, 4 Ho 3.55-3.61, 2 Mg 3.64-3.67
7 Pr 0.3272 0.2286 0.0000  8 Pr 3.51-3.81, 2 Ho 3.58, 2 Mg 3.66-3.67
8 Ho 0.2257 0.8143 0.4844  1 Mg 3.47, 9 Pr 3.55-3.69, 2 Ho 3.67

***

[5]
Pr3Ho12Mg5 | GGA-PBE | relaxed

Output
Volume   40.0 Å³/atom
Raw total energy   -3.08 eV per atom
Space-group type   No. 230
Formation energy   0.787 eV/atom
Density of states at the Fermi level   30.1 states/eV/f.u.
M_tot   0.00 μB/atom

Unit cell a=16.0752 b=16.0752 c=16.0752 alpha=109.47 beta=109.47 gamma=109.47
Closest atoms and distances in Å follow each position.
Element x y z (fractional)
1 Ho 0.5857 0.8630 0.4283  2 Mg 3.08-3.18, 1 Pr 3.27
2 Ho 0.3630 0.9347 0.7773  2 Mg 3.08-3.18, 1 Pr 3.27
3 Ho 0.6574 0.2227 0.5857  2 Mg 3.08-3.18, 1 Pr 3.27
4 Ho 0.5717 0.9347 0.6574  2 Mg 3.08-3.18, 1 Pr 3.27
5 Ho 0.9283 0.0857 0.8630  2 Mg 3.08-3.18, 1 Pr 3.27
6 Ho 0.1370 0.4143 0.0717  2 Mg 3.08-3.18, 1 Pr 3.27
7 Mg 0.3750 0.2500 0.1250  4 Ho 3.18
8 Ho 0.9347 0.3630 0.2773  2 Mg 3.08-3.18, 1 Pr 3.27
9 Ho 0.5857 0.7227 0.6574  2 Mg 3.08-3.18, 1 Pr 3.27
10 Ho 0.0717 0.1574 0.4347  2 Mg 3.08-3.18, 1 Pr 3.27
11 Mg 0.1250 0.3750 0.2500  4 Ho 3.18
12 Pr 0.6250 0.2500 0.3750  8 Ho 3.27-3.45
13 Mg 0.8750 0.6250 0.7500  4 Ho 3.18
14 Mg 0.0000 0.0000 0.5000  6 Ho 3.08
15 Mg 0.0000 0.5000 0.0000  6 Ho 3.08
16 Ho 0.0857 0.1574 0.2227  2 Mg 3.08-3.18, 1 Pr 3.27
17 Mg 0.2500 0.3750 0.6250  4 Ho 3.18
18 Pr 0.8750 0.1250 0.2500  8 Ho 3.27-3.45
19 Ho 0.7773 0.3426 0.9143  2 Mg 3.08-3.18, 1 Pr 3.27
20 Ho 0.2773 0.4143 0.8426  2 Mg 3.08-3.18, 1 Pr 3.27
21 Ho 0.6574 0.4347 0.5717  2 Mg 3.08-3.18, 1 Pr 3.27
22 Mg 0.7500 0.6250 0.3750  4 Ho 3.18
23 Pr 0.1250 0.8750 0.7500  8 Ho 3.27-3.45
24 Ho 0.4283 0.0653 0.3426  2 Mg 3.08-3.18, 1 Pr 3.27
25 Ho 0.8426 0.9143 0.2773  2 Mg 3.08-3.18, 1 Pr 3.27
26 Mg 0.0000 0.0000 0.0000  6 Ho 3.08
27 Pr 0.3750 0.7500 0.6250  8 Ho 3.27-3.45
28 Ho 0.1574 0.0857 0.7227  2 Mg 3.08-3.18, 1 Pr 3.27
29 Ho 0.3426 0.5653 0.4283  2 Mg 3.08-3.18, 1 Pr 3.27
30 Mg 0.1250 0.7500 0.3750  4 Ho 3.18
31 Ho 0.9143 0.0717 0.6370  2 Mg 3.08-3.18, 1 Pr 3.27
32 Mg 0.3750 0.1250 0.7500  4 Ho 3.18
33 Ho 0.4283 0.3630 0.5857  2 Mg 3.08-3.18, 1 Pr 3.27
34 Ho 0.5717 0.6370 0.4143  2 Mg 3.08-3.18, 1 Pr 3.27
35 Pr 0.2500 0.1250 0.3750  8 Ho 3.27-3.45
36 Pr 0.6250 0.3750 0.7500  8 Ho 3.27-3.45
37 Mg 0.2500 0.8750 0.1250  4 Ho 3.18
38 Mg 0.5000 0.5000 0.0000  6 Ho 3.08
39 Ho 0.1574 0.0717 0.9347  2 Mg 3.08-3.18, 1 Pr 3.27
40 Mg 0.6250 0.8750 0.2500  4 Ho 3.18
41 Ho 0.4143 0.2773 0.3426  2 Mg 3.08-3.18, 1 Pr 3.27
42 Ho 0.6370 0.0653 0.2227  2 Mg 3.08-3.18, 1 Pr 3.27
43 Ho 0.3426 0.7773 0.4143  2 Mg 3.08-3.18, 1 Pr 3.27
44 Ho 0.0857 0.9283 0.3630  2 Mg 3.08-3.18, 1 Pr 3.27
45 Ho 0.1370 0.7227 0.5653  2 Mg 3.08-3.18, 1 Pr 3.27
46 Ho 0.8426 0.9283 0.0653  2 Mg 3.08-3.18, 1 Pr 3.27
47 Ho 0.5653 0.3426 0.9283  2 Mg 3.08-3.18, 1 Pr 3.27
48 Pr 0.3750 0.6250 0.2500  8 Ho 3.27-3.45
49 Mg 0.5000 0.5000 0.5000  6 Ho 3.08
50 Ho 0.5653 0.2227 0.1370  2 Mg 3.08-3.18, 1 Pr 3.27
51 Ho 0.7227 0.1370 0.0653  2 Mg 3.08-3.18, 1 Pr 3.27
52 Mg 0.8750 0.2500 0.6250  4 Ho 3.18
53 Ho 0.6370 0.5717 0.9143  2 Mg 3.08-3.18, 1 Pr 3.27
54 Ho 0.2773 0.8630 0.9347  2 Mg 3.08-3.18, 1 Pr 3.27
55 Ho 0.4347 0.7773 0.8630  2 Mg 3.08-3.18, 1 Pr 3.27
56 Pr 0.2500 0.6250 0.8750  8 Ho 3.27-3.45
57 Mg 0.5000 0.0000 0.0000  6 Ho 3.08
58 Ho 0.9143 0.8426 0.7773  2 Mg 3.08-3.18, 1 Pr 3.27
59 Ho 0.2227 0.5653 0.6370  2 Mg 3.08-3.18, 1 Pr 3.27
60 Mg 0.5000 0.0000 0.5000  6 Ho 3.08
61 Ho 0.3630 0.4283 0.0857  2 Mg 3.08-3.18, 1 Pr 3.27
62 Mg 0.7500 0.1250 0.8750  4 Ho 3.18
63 Ho 0.7227 0.5857 0.1574  2 Mg 3.08-3.18, 1 Pr 3.27
64 Ho 0.2227 0.6574 0.0857  2 Mg 3.08-3.18, 1 Pr 3.27
65 Mg 0.0000 0.5000 0.5000  6 Ho 3.08
66 Mg 0.6250 0.7500 0.8750  4 Ho 3.18
67 Ho 0.8630 0.5857 0.9283  2 Mg 3.08-3.18, 1 Pr 3.27
68 Pr 0.7500 0.3750 0.1250  8 Ho 3.27-3.45
69 Pr 0.8750 0.7500 0.1250  8 Ho 3.27-3.45
70 Ho 0.0717 0.9143 0.1370  2 Mg 3.08-3.18, 1 Pr 3.27
71 Ho 0.8630 0.2773 0.4347  2 Mg 3.08-3.18, 1 Pr 3.27
72 Ho 0.7773 0.4347 0.3630  2 Mg 3.08-3.18, 1 Pr 3.27
73 Ho 0.4143 0.1370 0.5717  2 Mg 3.08-3.18, 1 Pr 3.27
74 Ho 0.4347 0.6574 0.0717  2 Mg 3.08-3.18, 1 Pr 3.27
75 Ho 0.9347 0.5717 0.1574  2 Mg 3.08-3.18, 1 Pr 3.27
76 Pr 0.7500 0.8750 0.6250  8 Ho 3.27-3.45
77 Ho 0.9283 0.8426 0.5653  2 Mg 3.08-3.18, 1 Pr 3.27
78 Pr 0.1250 0.2500 0.8750  8 Ho 3.27-3.45
79 Ho 0.0653 0.6370 0.7227  2 Mg 3.08-3.18, 1 Pr 3.27
80 Ho 0.0653 0.4283 0.8426  2 Mg 3.08-3.18, 1 Pr 3.27

***

[6]
Pr2Ho8Mg | GGA-PBE | relaxed

Output
Volume   32.0 Å³/atom
Raw total energy   -4.21 eV per atom
Space-group type   No. 12
Formation energy   0.136 eV/atom
Density of states at the Fermi level   15.5 states/eV/f.u.
M_tot   0.00 μB/atom

Unit cell a=6.6729 b=9.9868 c=9.9868 alpha=38.69 beta=59.87 gamma=59.87
Closest atoms and distances in Å follow each position.
Element x y z (fractional)
1 Ho 0.2701 0.4071 0.4071  6 Ho 3.30-3.56
2 Ho 0.1778 0.7542 0.7542  5 Ho 3.30-3.49, 4 Pr 3.41-3.61
3 Ho 0.7750 0.1795 0.6584  1 Mg 3.16, 6 Ho 3.17-3.51, 1 Pr 3.37
4 Ho 0.7750 0.6584 0.1795  1 Mg 3.16, 6 Ho 3.17-3.51, 1 Pr 3.37
5 Ho 0.8222 0.2458 0.2458  5 Ho 3.30-3.49, 4 Pr 3.41-3.61
6 Ho 0.7299 0.5929 0.5929  6 Ho 3.30-3.56
7 Ho 0.2250 0.8205 0.3416  1 Mg 3.16, 6 Ho 3.17-3.51, 1 Pr 3.37
8 Mg 0.0000 0.0000 0.0000  4 Ho 3.16
9 Ho 0.2250 0.3416 0.8205  1 Mg 3.16, 6 Ho 3.17-3.51, 1 Pr 3.37
10 Pr 0.4213 0.1863 0.1863  7 Ho 3.37-3.72, 1 Mg 3.58
11 Pr 0.5787 0.8137 0.8137  7 Ho 3.37-3.72, 1 Mg 3.58

***

[7]
PrHoMg | GGA-PBE | relaxed

Output
Volume   30.3 Å³/atom
Raw total energy   -3.61 eV per atom
Space-group type   No. 156
Formation energy   0.042 eV/atom
Density of states at the Fermi level   3.9 states/eV/f.u.
M_tot   0.00 μB/atom

Unit cell a=3.4453 b=5.5155 c=5.5155 alpha=120.00 beta=90.00 gamma=90.00
Closest atoms and distances in Å follow each position.
Element x y z (fractional)
1 Ho 0.0605 0.0000 0.0000  3 Mg 3.30, 2 Ho 3.45, 3 Pr 3.52
2 Pr 0.6265 0.6667 0.3333  3 Mg 3.36, 2 Pr 3.45, 6 Ho 3.52-3.73
3 Mg 0.3130 0.3333 0.6667  3 Ho 3.30, 3 Pr 3.36, 2 Mg 3.45

***

[8]
Pr3Ho6Mg | GGA-PBE | relaxed

Output
Volume   31.9 Å³/atom
Raw total energy   -4.31 eV per atom
Space-group type   No. 11
Formation energy   0.030 eV/atom
Density of states at the Fermi level   15.3 states/eV/f.u.
M_tot   0.00 μB/atom

Unit cell a=5.0968 b=11.0952 c=11.2981 alpha=91.34 beta=90.00 gamma=90.00
Closest atoms and distances in Å follow each position.
Element x y z (fractional)
1 Ho 0.2500 0.1505 0.1918  8 Ho 3.46-3.53, 2 Pr 3.57, 2 Mg 3.62
2 Ho 0.7500 0.1393 0.6888  3 Mg 3.43-3.44, 5 Ho 3.52-3.63, 4 Pr 3.60-3.62
3 Pr 0.2500 0.3455 0.7939  8 Ho 3.54-3.64, 4 Pr 3.58-3.60
4 Ho 0.7500 0.9540 0.1043  1 Mg 3.44, 7 Ho 3.48-3.63, 4 Pr 3.50-3.54
5 Pr 0.7500 0.4482 0.5978  8 Ho 3.55-3.67, 4 Pr 3.58
6 Ho 0.7500 0.7631 0.5054  3 Mg 3.44-3.47, 5 Ho 3.53-3.59, 4 Pr 3.56-3.67
7 Ho 0.2500 0.6578 0.7015  1 Mg 3.42, 6 Ho 3.51-3.59, 5 Pr 3.55-3.64
8 Pr 0.7500 0.2460 0.9942  10 Ho 3.50-3.62, 2 Pr 3.60
9 Pr 0.7500 0.6545 0.2061  8 Ho 3.54-3.64, 4 Pr 3.58-3.60
10 Ho 0.7500 0.3422 0.2985  1 Mg 3.42, 6 Ho 3.51-3.59, 5 Pr 3.55-3.64
11 Mg 0.7500 0.0524 0.3955  10 Ho 3.42-3.62, 2 Mg 3.68
12 Ho 0.2500 0.8607 0.3112  3 Mg 3.43-3.44, 5 Ho 3.52-3.63, 4 Pr 3.60-3.62
13 Ho 0.7500 0.8495 0.8082  8 Ho 3.46-3.53, 2 Pr 3.57, 2 Mg 3.62
14 Ho 0.2500 0.0460 0.8957  1 Mg 3.44, 7 Ho 3.48-3.63, 4 Pr 3.50-3.54
15 Mg 0.2500 0.9476 0.6045  10 Ho 3.42-3.62, 2 Mg 3.68
16 Ho 0.7500 0.5532 0.8977  5 Ho 3.46-3.65, 7 Pr 3.56-3.64
17 Pr 0.2500 0.7540 0.0058  10 Ho 3.50-3.62, 2 Pr 3.60
18 Pr 0.2500 0.5518 0.4022  8 Ho 3.55-3.67, 4 Pr 3.58
19 Ho 0.2500 0.4468 0.1023  5 Ho 3.46-3.65, 7 Pr 3.56-3.64
20 Ho 0.2500 0.2369 0.4946  3 Mg 3.44-3.47, 5 Ho 3.53-3.59, 4 Pr 3.56-3.67